1.
Here is PrEuYLu after structural relaxation from Alexandria via LeMat-Bulk. Energies are from PBE.

D(E_F) (states/eV/cell): 6.403
V (Å³ per atom): 34.440
Size of the total moment (μB per cell): 7.62
Energy relative to the elements (eV/f.u.): 0.55

Lattice parameters (Å, degrees): 5.7971 5.7971 5.7971 60.00 60.00 60.00
Closest atoms and distances in Å follow each position.
Sites, in units of the cell vectors:
Lu 0.2500 0.2500 0.2500  4 Pr 3.55, 4 Y 3.55
Y 0.0000 0.0000 0.0000  4 Lu 3.55, 4 Eu 3.55
Pr 0.5000 0.5000 0.5000  4 Lu 3.55, 4 Eu 3.55
Eu 0.7500 0.7500 0.7500  4 Pr 3.55, 4 Y 3.55

2.
Here is EuLu2Pt after structural relaxation from Alexandria via LeMat-Bulk. Energies are from PBE.

D(E_F) (states/eV/cell): 3.860
V (Å³ per atom): 32.363
Size of the total moment (μB per cell): 7.86
Energy relative to the elements (eV/f.u.): -2.34

Lattice parameters (Å, degrees): 4.0387 4.0387 9.4559 77.67 77.67 60.00
Closest atoms and distances in Å follow each position.
Sites, in units of the cell vectors:
Eu 0.5000 0.5000 0.5000  6 Lu 3.91, 6 Eu 4.04
Lu 0.2807 0.2807 0.1580  3 Pt 2.74
Lu 0.7193 0.7193 0.8420  3 Pt 2.74
Pt 0.0000 0.0000 0.0000  6 Lu 2.74

3.
Here is EuLu3Pt after structural relaxation from Alexandria via LeMat-Bulk. Energies are from PBE.

D(E_F) (states/eV/cell): 5.495
V (Å³ per atom): 31.839
Size of the total moment (μB per cell): 7.44
Energy relative to the elements (eV/f.u.): -2.29

Lattice parameters (Å, degrees): 5.4197 5.4197 5.4197 90.00 90.00 90.00
Closest atoms and distances in Å follow each position.
Sites, in units of the cell vectors:
Lu 0.0000 0.5000 0.0000  2 Pt 2.71
Lu 0.5000 0.0000 0.0000  2 Pt 2.71
Lu 0.0000 0.0000 0.5000  2 Pt 2.71
Pt 0.0000 0.0000 0.0000  6 Lu 2.71
Eu 0.5000 0.5000 0.5000  12 Lu 3.83

4.
Here is EuLu2Pt after structural relaxation from Alexandria via LeMat-Bulk. Energies are from PBE.

D(E_F) (states/eV/cell): 4.287
V (Å³ per atom): 27.388
Size of the total moment (μB per cell): 7.94
Energy relative to the elements (eV/f.u.): -2.47

Lattice parameters (Å, degrees): 3.4923 3.4923 8.9826 90.00 90.00 90.00
Closest atoms and distances in Å follow each position.
Sites, in units of the cell vectors:
Lu 0.0000 0.0000 0.1787  4 Pt 2.95, 1 Lu 3.21
Lu 0.0000 0.0000 0.8213  4 Pt 2.95, 1 Lu 3.21
Pt 0.5000 0.5000 0.0000  8 Lu 2.95
Eu 0.5000 0.5000 0.5000  4 Eu 3.49, 8 Lu 3.80

5.
Here is EuLuPt4 after structural relaxation from Alexandria via LeMat-Bulk. Energies are from PBE.

D(E_F) (states/eV/cell): 13.170
V (Å³ per atom): 19.072
Size of the total moment (μB per cell): 6.66
Energy relative to the elements (eV/f.u.): -6.13

Lattice parameters (Å, degrees): 5.4494 5.4494 5.4494 60.00 60.00 60.00
Closest atoms and distances in Å follow each position.
Sites, in units of the cell vectors:
Pt 0.6252 0.6252 0.1243  6 Pt 2.72-2.73
Pt 0.1243 0.6252 0.6252  6 Pt 2.72-2.73
Pt 0.6252 0.6252 0.6252  6 Pt 2.72-2.73
Pt 0.6252 0.1243 0.6252  6 Pt 2.72-2.73
Lu 0.0000 0.0000 0.0000  12 Pt 3.19, 4 Eu 3.34
Eu 0.2500 0.2500 0.2500  12 Pt 3.20, 4 Lu 3.34

6.
Here is EuLuPtRh after structural relaxation from Alexandria via LeMat-Bulk. Energies are from PBE.

D(E_F) (states/eV/cell): 11.687
V (Å³ per atom): 20.780
Size of the total moment (μB per cell): 6.74
Energy relative to the elements (eV/f.u.): -3.33

Lattice parameters (Å, degrees): 4.8986 4.8986 4.8986 60.00 60.00 60.00
Closest atoms and distances in Å follow each position.
Sites, in units of the cell vectors:
Eu 0.7500 0.7500 0.7500  4 Rh 3.00, 4 Pt 3.00
Lu 0.2500 0.2500 0.2500  4 Rh 3.00, 4 Pt 3.00
Pt 0.0000 0.0000 0.0000  4 Eu 3.00, 4 Lu 3.00
Rh 0.5000 0.5000 0.5000  4 Lu 3.00, 4 Eu 3.00

7.
Here is EuLuTlPt after structural relaxation from Alexandria via LeMat-Bulk. Energies are from PBE.

D(E_F) (states/eV/cell): 6.598
V (Å³ per atom): 24.529
Size of the total moment (μB per cell): 6.97
Energy relative to the elements (eV/f.u.): -2.42

Lattice parameters (Å, degrees): 5.1771 5.1771 5.1771 60.00 60.00 60.00
Closest atoms and distances in Å follow each position.
Sites, in units of the cell vectors:
Pt 0.7500 0.7500 0.7500  4 Lu 3.17, 4 Eu 3.17
Eu 0.0000 0.0000 0.0000  4 Tl 3.17, 4 Pt 3.17
Tl 0.2500 0.2500 0.2500  4 Eu 3.17, 4 Lu 3.17
Lu 0.5000 0.5000 0.5000  4 Pt 3.17, 4 Tl 3.17

8.
Here is EuLu2Pu after structural relaxation from Alexandria via LeMat-Bulk. Energies are from PBE.

D(E_F) (states/eV/cell): 9.190
V (Å³ per atom): 30.877
Size of the total moment (μB per cell): 1.26
Energy relative to the elements (eV/f.u.): 0.52

Lattice parameters (Å, degrees): 3.5405 3.5405 9.8531 90.00 90.00 90.00
Closest atoms and distances in Å follow each position.
Sites, in units of the cell vectors:
Lu 0.0000 0.0000 0.7698  4 Pu 3.38, 4 Lu 3.54, 4 Eu 3.65
Lu 0.0000 0.0000 0.2302  4 Pu 3.38, 4 Lu 3.54, 4 Eu 3.65
Eu 0.5000 0.5000 0.5000  4 Eu 3.54, 8 Lu 3.65
Pu 0.5000 0.5000 0.0000  8 Lu 3.38, 4 Pu 3.54

9.
Here is EuLu2Pu after structural relaxation from Alexandria via LeMat-Bulk. Energies are from PBE.

D(E_F) (states/eV/cell): 15.432
V (Å³ per atom): 30.718
Size of the total moment (μB per cell): 0.43
Energy relative to the elements (eV/f.u.): 0.97

Lattice parameters (Å, degrees): 4.7768 5.0718 5.0718 90.00 90.00 90.00
Closest atoms and distances in Å follow each position.
Sites, in units of the cell vectors:
Eu 0.5000 0.0000 0.0000  8 Lu 3.48, 4 Pu 3.59
Pu 0.5000 0.5000 0.5000  8 Lu 3.48, 4 Eu 3.59
Lu 0.0000 0.0000 0.5000  4 Pu 3.48, 4 Eu 3.48, 4 Lu 3.59
Lu 0.0000 0.5000 0.0000  4 Pu 3.48, 4 Eu 3.48, 4 Lu 3.59

10.
Here is EuLuRh after structural relaxation from Alexandria via LeMat-Bulk. Energies are from PBE.

D(E_F) (states/eV/cell): 10.620
V (Å³ per atom): 26.612
Size of the total moment (μB per cell): 7.03
Energy relative to the elements (eV/f.u.): -1.37

Lattice parameters (Å, degrees): 4.8332 4.8332 4.8332 60.00 60.00 60.00
Closest atoms and distances in Å follow each position.
Sites, in units of the cell vectors:
Eu 0.5000 0.5000 0.5000  4 Rh 2.96
Lu 0.0000 0.0000 0.0000  4 Rh 2.96
Rh 0.2500 0.2500 0.2500  4 Eu 2.96, 4 Lu 2.96

11.
Here is EuLu3Rh after structural relaxation from Alexandria via LeMat-Bulk. Energies are from PBE.

D(E_F) (states/eV/cell): 5.318
V (Å³ per atom): 30.692
Size of the total moment (μB per cell): 7.51
Energy relative to the elements (eV/f.u.): -1.75

Lattice parameters (Å, degrees): 5.3538 5.3538 5.3538 90.00 90.00 90.00
Closest atoms and distances in Å follow each position.
Sites, in units of the cell vectors:
Eu 0.5000 0.5000 0.5000  12 Lu 3.79
Rh 0.0000 0.0000 0.0000  6 Lu 2.68
Lu 0.0000 0.5000 0.0000  2 Rh 2.68
Lu 0.5000 0.0000 0.0000  2 Rh 2.68
Lu 0.0000 0.0000 0.5000  2 Rh 2.68

12.
Here is EuLuRh after structural relaxation from Alexandria via LeMat-Bulk. Energies are from PBE.

D(E_F) (states/eV/cell): 7.551
V (Å³ per atom): 25.647
Size of the total moment (μB per cell): 7.13
Energy relative to the elements (eV/f.u.): -1.52

Lattice parameters (Å, degrees): 3.4355 3.4355 6.9569 104.29 104.29 90.00
Closest atoms and distances in Å follow each position.
Sites, in units of the cell vectors:
Lu 0.2898 0.2898 0.5796  4 Rh 2.81
Eu 0.0283 0.0283 0.0566  4 Rh 3.15, 1 Lu 3.41, 4 Eu 3.44
Rh 0.6819 0.6819 0.3639  4 Lu 2.81

13.
Here is EuLu3Ru after structural relaxation from Alexandria via LeMat-Bulk. Energies are from PBE.

D(E_F) (states/eV/cell): 3.672
V (Å³ per atom): 30.403
Size of the total moment (μB per cell): 7.28
Energy relative to the elements (eV/f.u.): -1.00

Lattice parameters (Å, degrees): 5.3370 5.3370 5.3370 90.00 90.00 90.00
Closest atoms and distances in Å follow each position.
Sites, in units of the cell vectors:
Lu 0.5000 0.0000 0.0000  2 Ru 2.67
Lu 0.0000 0.5000 0.0000  2 Ru 2.67
Lu 0.0000 0.0000 0.5000  2 Ru 2.67
Ru 0.0000 0.0000 0.0000  6 Lu 2.67
Eu 0.5000 0.5000 0.5000  12 Lu 3.77

14.
Here is EuLuRu4 after structural relaxation from Alexandria via LeMat-Bulk. Energies are from PBE.

D(E_F) (states/eV/cell): 9.275
V (Å³ per atom): 17.977
Size of the total moment (μB per cell): 5.32
Energy relative to the elements (eV/f.u.): -0.75

Lattice parameters (Å, degrees): 5.3431 5.3431 5.3431 60.00 60.00 60.00
Closest atoms and distances in Å follow each position.
Sites, in units of the cell vectors:
Ru 0.1257 0.6248 0.6248  6 Ru 2.67-2.68
Ru 0.6248 0.6248 0.6248  6 Ru 2.67-2.68
Ru 0.6248 0.6248 0.1257  6 Ru 2.67-2.68
Ru 0.6248 0.1257 0.6248  6 Ru 2.67-2.68
Eu 0.0000 0.0000 0.0000  12 Ru 3.13, 4 Lu 3.27
Lu 0.2500 0.2500 0.2500  12 Ru 3.13, 4 Eu 3.27

15.
Here is EuLuZnRu after structural relaxation from Alexandria via LeMat-Bulk. Energies are from PBE.

D(E_F) (states/eV/cell): 2.863
V (Å³ per atom): 21.168
Size of the total moment (μB per cell): 6.86
Energy relative to the elements (eV/f.u.): -0.67

Lattice parameters (Å, degrees): 4.9289 4.9289 4.9289 60.00 60.00 60.00
Closest atoms and distances in Å follow each position.
Sites, in units of the cell vectors:
Ru 0.5000 0.5000 0.5000  4 Lu 3.02, 4 Eu 3.02
Zn 0.0000 0.0000 0.0000  4 Eu 3.02, 4 Lu 3.02
Eu 0.2500 0.2500 0.2500  4 Ru 3.02, 4 Zn 3.02
Lu 0.7500 0.7500 0.7500  4 Zn 3.02, 4 Ru 3.02

16.
Here is Eu2LuSc after structural relaxation from Alexandria via LeMat-Bulk. Energies are from PBE.

D(E_F) (states/eV/cell): 5.967
V (Å³ per atom): 32.369
Size of the total moment (μB per cell): 14.48
Energy relative to the elements (eV/f.u.): 0.86

Lattice parameters (Å, degrees): 5.6785 5.6785 5.6785 60.00 60.00 60.00
Closest atoms and distances in Å follow each position.
Sites, in units of the cell vectors:
Sc 0.5000 0.5000 0.5000  8 Eu 3.48
Eu 0.2500 0.2500 0.2500  4 Sc 3.48, 4 Lu 3.48
Eu 0.7500 0.7500 0.7500  4 Sc 3.48, 4 Lu 3.48
Lu 0.0000 0.0000 0.0000  8 Eu 3.48

17.
Here is EuLuSc2 after structural relaxation from Alexandria via LeMat-Bulk. Energies are from PBE.

D(E_F) (states/eV/cell): 8.101
V (Å³ per atom): 29.054
Size of the total moment (μB per cell): 7.00
Energy relative to the elements (eV/f.u.): 0.64

Lattice parameters (Å, degrees): 3.8207 3.8207 7.9611 90.00 90.00 90.00
Closest atoms and distances in Å follow each position.
Sites, in units of the cell vectors:
Sc 0.0000 0.0000 0.2263  4 Lu 3.25, 4 Eu 3.47, 1 Sc 3.60
Sc 0.0000 0.0000 0.7737  4 Lu 3.25, 4 Eu 3.47, 1 Sc 3.60
Lu 0.5000 0.5000 0.0000  8 Sc 3.25
Eu 0.5000 0.5000 0.5000  8 Sc 3.47, 4 Eu 3.82

18.
Here is EuLuSc after structural relaxation from Alexandria via LeMat-Bulk. Energies are from PBE.

D(E_F) (states/eV/cell): 4.162
V (Å³ per atom): 30.231
Size of the total moment (μB per cell): 7.20
Energy relative to the elements (eV/f.u.): 0.36

Lattice parameters (Å, degrees): 3.5031 3.5031 8.5338 90.00 90.00 120.00
Closest atoms and distances in Å follow each position.
Sites, in units of the cell vectors:
Lu 0.3333 0.6667 0.6480  3 Sc 3.27, 6 Lu 3.50, 3 Eu 3.66
Sc 0.6667 0.3333 0.3464  3 Lu 3.27, 6 Sc 3.50, 3 Eu 3.54
Eu 0.0000 0.0000 0.0056  6 Eu 3.50, 3 Sc 3.54, 3 Lu 3.66

19.
Here is Eu2LuSc after structural relaxation from Alexandria via LeMat-Bulk. Energies are from PBE.

D(E_F) (states/eV/cell): 6.179
V (Å³ per atom): 32.400
Size of the total moment (μB per cell): 14.75
Energy relative to the elements (eV/f.u.): 0.84

Lattice parameters (Å, degrees): 3.9614 3.9614 8.2587 90.00 90.00 90.00
Closest atoms and distances in Å follow each position.
Sites, in units of the cell vectors:
Lu 0.5000 0.5000 0.5000  8 Eu 3.55, 4 Lu 3.96
Sc 0.5000 0.5000 0.0000  8 Eu 3.42
Eu 0.0000 0.0000 0.2367  4 Sc 3.42, 4 Lu 3.55
Eu 0.0000 0.0000 0.7633  4 Sc 3.42, 4 Lu 3.55

20.
Here is Eu2LuSc after structural relaxation from Alexandria via LeMat-Bulk. Energies are from PBE.

D(E_F) (states/eV/cell): 6.193
V (Å³ per atom): 32.622
Size of the total moment (μB per cell): 15.84
Energy relative to the elements (eV/f.u.): 0.74

Lattice parameters (Å, degrees): 5.1546 5.0314 5.0314 90.00 90.00 90.00
Closest atoms and distances in Å follow each position.
Sites, in units of the cell vectors:
Lu 0.5000 0.5000 0.5000  4 Sc 3.56, 8 Eu 3.60
Eu 0.0000 0.5000 0.0000  4 Eu 3.56, 4 Sc 3.60, 4 Lu 3.60
Eu 0.0000 0.0000 0.5000  4 Eu 3.56, 4 Sc 3.60, 4 Lu 3.60
Sc 0.5000 0.0000 0.0000  4 Lu 3.56, 8 Eu 3.60